(1)
Below is a geometry-optimized In3RuBr structure, with properties calculated at the PBE level.

mass density	4.72	g/cm3
energy above the most stable polymorph in this dataset	1.3173	eV per atom
total energy	-2.6656	eV/atom
SG	Pm-3m (221)

a = 5.695 Å, b = 5.695 Å, c = 5.695 Å
α = 90.00°, β = 90.00°, γ = 90.00°
Fractional positions:
In1 0.500 0.000 0.000
In2 0.000 0.500 0.000
In3 0.000 0.000 0.500
Br1 0.000 0.000 0.000
Ru1 0.500 0.500 0.500


(2)
Below is a geometry-optimized Er2Th3Ni2 structure, with properties calculated at the PBE level.

mass density	10.56	g/cm3
formation energy	-0.254	eV/atom
total energy	-6.3891	eV/atom
SG	C2/m (12)

a = 3.697 Å, b = 6.128 Å, c = 9.002 Å
α = 69.11°, β = 78.15°, γ = 72.44°
Fractional positions:
Er1 0.168 0.470 0.195
Er2 0.832 0.530 0.805
Th1 0.383 0.802 0.433
Th2 0.500 0.000 0.000
Th3 0.617 0.198 0.567
Ni1 0.147 0.908 0.798
Ni2 0.853 0.092 0.202


(3)
Below is a geometry-optimized Sc2AlFe structure, with properties calculated at the PBE level.

mass density	3.81	g/cm3
formation energy	0.065	eV/atom
total energy	-6.1525	eV/atom
SG	R3m (160)

a = 9.031 Å, b = 9.031 Å, c = 9.031 Å
α = 19.98°, β = 19.98°, γ = 19.98°
Fractional positions:
Sc1 0.015 0.015 0.015
Sc2 0.242 0.242 0.242
Al1 0.487 0.487 0.487
Fe1 0.755 0.755 0.755


(4)
Below is a geometry-optimized MnNiTe structure, with properties calculated at the PBE level.

mass density	7.52	g/cm3
energy above the most stable polymorph in this dataset	0.1883	eV per atom
total energy	-5.9476	eV/atom
SG	R3m (160)

a = 4.649 Å, b = 4.649 Å, c = 3.886 Å
α = 90.01°, β = 114.71°, γ = 130.58°
Fractional positions:
Ni1 0.459 0.464 0.924
Mn1 0.911 0.238 0.150
Te1 0.344 0.022 0.366